[1]
# CaCrS2 (PBE, relaxed)
# formation energy from raw total energies: -103 kJ per mole of atoms
# energy relative to the lowest polymorph listed for this composition: 0.000 eV/atom
data_CaCrS2
_chemical_formula_sum 'Ca4 Cr4 S8'
_space_group_name_H-M_alt 'I -4 2 d'
_space_group_IT_number 122
_space_group_name_Hall 'I -4 2bw'
_cell_length_a 5.8000
_cell_length_b 5.8000
_cell_length_c 12.0446
_cell_angle_alpha 90.00
_cell_angle_beta 90.00
_cell_angle_gamma 90.00
loop_
_atom_site_label
_atom_site_type_symbol
_atom_site_fract_x
_atom_site_fract_y
_atom_site_fract_z
Ca1 Ca 0.0000 0.0000 0.0000
Cr1 Cr 0.0000 0.0000 0.5000
S1 S 0.1979 0.2500 0.6250


[2]
# Cd2Rh (PBE, relaxed)
# ΔE_f: 0.0352 eV per atom
data_Cd2Rh
_chemical_formula_sum 'Cd8 Rh4'
_space_group_name_H-M_alt 'C m c m'
_space_group_IT_number 63
_space_group_name_Hall '-C 2c 2'
_cell_length_a 3.0325
_cell_length_b 15.2125
_cell_length_c 4.8297
_cell_angle_alpha 90.00
_cell_angle_beta 90.00
_cell_angle_gamma 90.00
loop_
_atom_site_label
_atom_site_type_symbol
_atom_site_fract_x
_atom_site_fract_y
_atom_site_fract_z
Cd1 Cd 0.0000 0.0657 0.2500
Cd2 Cd 0.0000 0.3758 0.2500
Rh1 Rh 0.0000 0.2754 0.7500


[3]
# LiNd3Ni8 (PBE, relaxed)
# ΔE_f: -0.2947 eV per atom
data_LiNd3Ni8
_chemical_formula_sum 'Li3 Nd9 Ni24'
_space_group_name_H-M_alt 'R 3 m'
_space_group_IT_number 160
_space_group_name_Hall 'R 3 -2"'
_cell_length_a 5.0633
_cell_length_b 5.0633
_cell_length_c 24.9891
_cell_angle_alpha 90.00
_cell_angle_beta 90.00
_cell_angle_gamma 120.00
loop_
_atom_site_label
_atom_site_type_symbol
_atom_site_fract_x
_atom_site_fract_y
_atom_site_fract_z
Li1 Li 0.0000 0.0000 0.0000
Nd1 Nd 0.0000 0.0000 0.1210
Nd2 Nd 0.0000 0.0000 0.5079
Nd3 Nd 0.0000 0.0000 0.6369
Ni1 Ni 0.0000 0.0000 0.3185
Ni2 Ni 0.0000 0.0000 0.8176
Ni3 Ni 0.0008 0.5004 0.5692
Ni4 Ni 0.0036 0.5018 0.0667


[4]
# PmHo2ThSc (PBE, relaxed)
# ΔE_f: 0.0532 eV per atom
data_PmHo2ThSc
_chemical_formula_sum 'Pm2 Ho4 Th2 Sc2'
_space_group_name_H-M_alt 'P 1 21/m 1'
_space_group_IT_number 11
_cell_length_a 7.8029
_cell_length_b 4.9983
_cell_length_c 7.8559
_cell_angle_alpha 90.00
_cell_angle_beta 90.52
_cell_angle_gamma 90.00
loop_
_space_group_symop_operation_xyz
'x,y,z'
'-x,-y,-z'
'-x,y+1/2,-z'
'x,-y+1/2,z'
loop_
_atom_site_label
_atom_site_type_symbol
_atom_site_fract_x
_atom_site_fract_y
_atom_site_fract_z
Pm1 Pm 0.2486 0.2500 0.2458
Ho1 Ho 0.1585 0.7500 0.9468
Ho2 Ho 0.3471 0.7500 0.5494
Th1 Th 0.0543 0.2500 0.6495
Sc1 Sc 0.4497 0.2500 0.8500


[5]
# Ti2AlHRh (PBE, relaxed)
# energy relative to the lowest polymorph listed for this composition: 0.039 eV/atom
data_Ti2AlHRh
_chemical_formula_sum 'Ti2 Al1 H1 Rh1'
_space_group_name_H-M_alt 'P 4/m m m'
_space_group_IT_number 123
_space_group_name_Hall '-P 4 2'
_cell_length_a 3.8329
_cell_length_b 3.8329
_cell_length_c 4.2826
_cell_angle_alpha 90.00
_cell_angle_beta 90.00
_cell_angle_gamma 90.00
loop_
_atom_site_label
_atom_site_type_symbol
_atom_site_fract_x
_atom_site_fract_y
_atom_site_fract_z
Ti1 Ti 0.0000 0.5000 0.0000
Al1 Al 0.0000 0.0000 0.5000
H1 H 0.0000 0.0000 0.0000
Rh1 Rh 0.5000 0.5000 0.5000


[6]
# K2TaIrW (PBE, relaxed)
# ΔE_f: 2.4328 eV per atom
data_K2TaIrW
_chemical_formula_sum 'K2 Ta1 Ir1 W1'
_space_group_name_H-M_alt 'P 4/m m m'
_space_group_IT_number 123
_space_group_name_Hall '-P 4 2'
_cell_length_a 6.5808
_cell_length_b 6.5808
_cell_length_c 4.6550
_cell_angle_alpha 90.00
_cell_angle_beta 90.00
_cell_angle_gamma 90.00
loop_
_atom_site_label
_atom_site_type_symbol
_atom_site_fract_x
_atom_site_fract_y
_atom_site_fract_z
K1 K 0.0000 0.5000 0.0000
Ta1 Ta 0.0000 0.0000 0.0000
Ir1 Ir 0.0000 0.0000 0.5000
W1 W 0.5000 0.5000 0.5000


[7]
# Be2VCr (PBE, relaxed)
# ΔE_f: 0.3992 eV per atom
# energy relative to the lowest polymorph listed for this composition: 0.306 eV/atom
data_Be2VCr
_chemical_formula_sum 'Be8 V4 Cr4'
_space_group_name_H-M_alt 'I -4 2 d'
_space_group_IT_number 122
_space_group_name_Hall 'I -4 2bw'
_cell_length_a 6.1021
_cell_length_b 6.1021
_cell_length_c 4.6462
_cell_angle_alpha 90.00
_cell_angle_beta 90.00
_cell_angle_gamma 90.00
loop_
_atom_site_label
_atom_site_type_symbol
_atom_site_fract_x
_atom_site_fract_y
_atom_site_fract_z
Be1 Be 0.2407 0.2500 0.1250
V1 V 0.0000 0.0000 0.5000
Cr1 Cr 0.0000 0.0000 0.0000


[8]
# Sc2CdNi (PBE, relaxed)
# ΔE_f: -0.0052 eV per atom
data_Sc2CdNi
_chemical_formula_sum 'Sc8 Cd4 Ni4'
_space_group_name_H-M_alt 'I -4 2 d'
_space_group_IT_number 122
_space_group_name_Hall 'I -4 2bw'
_cell_length_a 7.5304
_cell_length_b 7.5304
_cell_length_c 5.8214
_cell_angle_alpha 90.00
_cell_angle_beta 90.00
_cell_angle_gamma 90.00
loop_
_atom_site_label
_atom_site_type_symbol
_atom_site_fract_x
_atom_site_fract_y
_atom_site_fract_z
Sc1 Sc 0.1938 0.2500 0.1250
Cd1 Cd 0.0000 0.0000 0.5000
Ni1 Ni 0.0000 0.0000 0.0000


| no. | Fermi-level density of states (states/eV per cell) | total DFT energy (no corrections) (eV/cell) |
| --- | --- | --- |
| 1 | 7.7 | -96.6 |
| 2 | 11.2 | -36.3 |
| 3 | 36.2 | -198.0 |
| 4 | 14.6 | -54.8 |
| 5 | 3.2 | -32.7 |
| 6 | 6.9 | -23.7 |
| 7 | 14.9 | -98.4 |
| 8 | 18.6 | -77.5 |